1.
Compound: PaCr3Si2
Source: the Alexandria database
Functional: PBE
Structure: optimized geometry

Lattice parameters (Å, degrees): 3.9935 7.8306 6.8550 116.55 90.00 104.77
Closest atoms and distances in Å follow each position.
Element x y z (fractional)
Cr 0.9489 0.8978 0.5805  3 Cr 2.28-2.41, 3 Si 2.37-2.41
Cr 0.0511 0.1022 0.4195  3 Cr 2.28-2.41, 3 Si 2.37-2.41
Cr 0.7031 0.4063 0.4878  3 Cr 2.37-2.41, 4 Si 2.38-2.56
Cr 0.5915 0.1829 0.6416  4 Cr 2.37-2.54, 3 Si 2.47-2.57
Cr 0.4085 0.8171 0.3584  4 Cr 2.37-2.54, 3 Si 2.47-2.57
Cr 0.2969 0.5937 0.5122  3 Cr 2.37-2.41, 4 Si 2.38-2.56
Pa 0.8657 0.7314 0.9574  7 Si 2.88-3.08, 4 Cr 3.02-3.21
Pa 0.1343 0.2686 0.0426  7 Si 2.88-3.08, 4 Cr 3.02-3.21
Si 0.7889 0.5778 0.2712  6 Cr 2.37-2.57
Si 0.4733 0.9467 0.7971  5 Cr 2.41-2.70, 1 Si 2.51
Si 0.2111 0.4222 0.7288  6 Cr 2.37-2.57
Si 0.5267 0.0533 0.2029  5 Cr 2.41-2.70, 1 Si 2.51

Computed properties:
Fermi-level density of states: 11.60 states/eV/cell
total magnetization: 0.0 Bohr magnetons per cell
formation energy (no corrections): -1.88 eV per formula unit


2.
Compound: PaCrSi2
Source: the Alexandria database
Functional: PBE
Structure: optimized geometry

Lattice parameters (Å, degrees): 3.1003 3.1003 8.3138 79.25 79.25 60.00
Closest atoms and distances in Å follow each position.
Element x y z (fractional)
Cr 0.0000 0.0000 0.0000  6 Si 2.43
Si 0.7339 0.7339 0.7984  3 Cr 2.43
Si 0.2661 0.2661 0.2016  3 Cr 2.43
Pa 0.5000 0.5000 0.5000  6 Si 3.01, 6 Pa 3.10

Computed properties:
Fermi-level density of states: 3.68 states/eV/cell
total magnetization: 1.0 Bohr magnetons per cell
formation energy (no corrections): 0.07 eV per formula unit


3.
Compound: Pa2CrSi
Source: the Alexandria database
Functional: PBE
Structure: optimized geometry

Lattice parameters (Å, degrees): 4.2551 4.2286 4.2286 90.00 90.00 90.00
Closest atoms and distances in Å follow each position.
Element x y z (fractional)
Si 0.5000 0.5000 0.5000  4 Cr 2.99, 8 Pa 3.00
Pa 0.0000 0.0000 0.5000  4 Pa 2.99, 4 Si 3.00, 4 Cr 3.00
Pa 0.0000 0.5000 0.0000  4 Pa 2.99, 4 Cr 3.00, 4 Si 3.00
Cr 0.5000 0.0000 0.0000  4 Si 2.99, 8 Pa 3.00

Computed properties:
Fermi-level density of states: 6.43 states/eV/cell
total magnetization: 1.4 Bohr magnetons per cell
energy relative to the lowest polymorph listed for this composition: 0.000 eV per atom
formation energy (no corrections): -0.54 eV per formula unit


4.
Compound: PaCr3Si3
Source: the Alexandria database
Functional: PBE
Structure: optimized geometry

Lattice parameters (Å, degrees): 4.1194 8.6969 7.0820 124.51 90.00 90.00
Closest atoms and distances in Å follow each position.
Element x y z (fractional)
Si 0.7500 0.3745 0.1465  3 Cr 2.34-2.41
Si 0.2500 0.0619 0.6249  5 Cr 2.31-2.58, 2 Si 2.52
Si 0.2500 0.6255 0.8535  3 Cr 2.34-2.41
Si 0.7500 0.9381 0.3751  5 Cr 2.31-2.58, 2 Si 2.52
Si 0.7500 0.6538 0.5886  2 Cr 2.34-2.43
Si 0.2500 0.3462 0.4114  2 Cr 2.34-2.43
Cr 0.2500 0.0137 0.2502  3 Cr 2.40-2.59, 4 Si 2.43-2.47
Cr 0.7500 0.9863 0.7498  3 Cr 2.40-2.59, 4 Si 2.43-2.47
Cr 0.2500 0.8852 0.8187  4 Cr 2.40-2.59, 2 Si 2.41-2.58
Cr 0.2500 0.2196 0.0192  4 Si 2.31-2.34, 1 Cr 2.41
Cr 0.7500 0.1148 0.1813  4 Cr 2.40-2.59, 2 Si 2.41-2.58
Cr 0.7500 0.7804 0.9808  4 Si 2.31-2.34, 1 Cr 2.41
Pa 0.2500 0.6566 0.2828  8 Si 2.90-3.00, 3 Cr 3.13-3.24
Pa 0.7500 0.3434 0.7172  8 Si 2.90-3.00, 3 Cr 3.13-3.24

Computed properties:
Fermi-level density of states: 10.23 states/eV/cell
total magnetization: 0.0 Bohr magnetons per cell
formation energy (no corrections): -2.01 eV per formula unit


Q: What is the total magnetization in the fourth record?
A: 0.0 Bohr magnetons per cell


Q: formation energy (no corrections) of number 4 (PaCr3Si3)?
A: -2.01 eV per formula unit